Record 1
First-principles (GGA-PBE) data for a relaxed structure of LiPrYSe3, as listed in Alexandria.

The total magnetization is 0.00 μB per atom. The energy relative to the elements, uncorrected comes out at -1.68 eV per atom. Its density of states at the Fermi level is 4.2 states/eV per cell.

It has space group P2_1/m (No. 11), with a = 8.501 Å, b = 4.043 Å, c = 8.887 Å, α = 90.00°, β = 103.08° and γ = 90.00°. The inequivalent atoms are Li at (0.086, 0.250, 0.085), Pr at (0.189, 0.250, 0.727), Y at (0.334, 0.750, 0.338), Se at (0.096, 0.250, 0.370), Se at (0.220, 0.750, 0.001) and Se at (0.433, 0.750, 0.674).

---

Record 2
First-principles (GGA-PBE) data for a relaxed structure of KPm4TmS8, as listed in Alexandria.

The total magnetization is 0.00 μB per atom. The energy relative to the elements, uncorrected comes out at -1.92 eV per atom. Its density of states at the Fermi level is 0.0 states/eV per cell.

It has space group R3m (No. 160, hexagonal axes), with a = 8.4236 Å, b = 8.4236 Å, c = 20.1809 Å, α = 90.00°, β = 90.00° and γ = 120.00°. The inequivalent atoms are K at (0.0000, 0.0000, 0.0000), Pm at (0.0000, 0.0000, 0.2451), Pm at (0.1724, 0.3447, 0.4531), Tm at (0.0000, 0.0000, 0.6255), S at (0.0000, 0.0000, 0.3787), S at (0.0000, 0.0000, 0.8564), S at (0.0483, 0.5242, 0.3729) and S at (0.1795, 0.3589, 0.2042).

---

Record 3
First-principles (GGA-PBE) data for a relaxed structure of CaAgP, as listed in Alexandria.

The total magnetization is 0.00 μB per atom. Its density of states at the Fermi level is 0.0 states/eV per cell. Its formation energy is -1.6 eV/f.u.

It has space group P4/nmm (No. 129, origin choice 2), with a = 5.711 Å, b = 5.711 Å, c = 4.789 Å, α = 90.00°, β = 90.00° and γ = 90.00°. The inequivalent atoms are Ca at (0.250, 0.750, 0.000), Ag at (0.250, 0.250, 0.396) and P at (0.250, 0.250, 0.889).

---

Record 4
First-principles (GGA-PBE) data for a relaxed structure of BaTaPb2, as listed in Alexandria.

The total magnetization is 0.82 μB per atom. Its density of states at the Fermi level is 16.5 states/eV per cell. Its formation energy is 3.1 eV/f.u.

It has space group F-43m (No. 216), with a = 7.928 Å, b = 7.928 Å, c = 7.928 Å, α = 90.00°, β = 90.00° and γ = 90.00°. The inequivalent atoms are Ba at (0.000, 0.000, 0.000), Ta at (0.250, 0.250, 0.250), Pb at (0.000, 0.000, 0.500) and Pb at (0.250, 0.250, 0.750).

---

Record 5
First-principles (GGA-PBE) data for a relaxed structure of Dy2Tm3Zn2, as listed in Alexandria.

The total magnetization is 0.00 μB per atom. Its density of states at the Fermi level is 16.6 states/eV per cell. Its formation energy is -0.6 eV/f.u. The value obtained for the energy relative to the lowest polymorph listed for this composition is 0.85 kcal/mol of atoms.

It has space group C2/m (No. 12), with a = 11.037 Å, b = 4.686 Å, c = 7.995 Å, α = 90.00°, β = 115.42° and γ = 90.00°. The inequivalent atoms are Dy at (0.134, 0.000, 0.286), Tm at (0.000, 0.500, 0.500), Tm at (0.134, 0.500, 0.957) and Zn at (0.151, 0.000, 0.688).

---

Record 6
First-principles (GGA-PBE) data for a relaxed structure of NbPIrO2, as listed in Alexandria.

The total magnetization is 0.28 μB per atom. The energy relative to the elements, uncorrected comes out at -0.63 eV per atom. Its density of states at the Fermi level is 3.7 states/eV per cell. The value obtained for the energy relative to the lowest polymorph listed for this composition is 0.00 kcal/mol of atoms.

It has space group P4/mmm (No. 123), with a = 3.811 Å, b = 3.811 Å, c = 5.522 Å, α = 90.00°, β = 90.00° and γ = 90.00°. The inequivalent atoms are Nb at (0.000, 0.000, 0.000), P at (0.000, 0.000, 0.500), Ir at (0.500, 0.500, 0.500) and O at (0.000, 0.500, 0.000).

---

Record 7
First-principles (GGA-PBE) data for a relaxed structure of Tm5ThAl6, as listed in Alexandria.

The total magnetization is 0.00 μB per atom. Its density of states at the Fermi level is 11.1 states/eV per cell. Its formation energy is -4.2 eV/f.u.

It has space group Immm (No. 71), with a = 5.064 Å, b = 7.185 Å, c = 15.209 Å, α = 90.00°, β = 90.00° and γ = 90.00°. The inequivalent atoms are Tm at (0.000, 0.000, 0.000), Tm at (0.000, 0.000, 0.340), Tm at (0.000, 0.500, 0.329), Th at (0.000, 0.500, 0.000), Al at (0.000, 0.239, 0.171) and Al at (0.000, 0.272, 0.500).

---

Record 8
First-principles (GGA-PBE) data for a relaxed structure of Ba2Li2Sn, as listed in Alexandria.

The total magnetization is 0.00 μB per atom. Its density of states at the Fermi level is 2.7 states/eV per cell. Its formation energy is -1.7 eV/f.u. The value obtained for the energy relative to the lowest polymorph listed for this composition is 0.00 kcal/mol of atoms.

It has space group P-3m1 (No. 164), with a = 4.8135 Å, b = 4.8135 Å, c = 9.4226 Å, α = 90.00°, β = 90.00° and γ = 120.00°. The inequivalent atoms are Ba at (0.3333, 0.6667, 0.2111), Li at (0.3333, 0.6667, 0.5537) and Sn at (0.0000, 0.0000, 0.5000).

---

Record 9
First-principles (GGA-PBE) data for a relaxed structure of YCuNi, as listed in Alexandria.

The total magnetization is 0.00 μB per atom. Its density of states at the Fermi level is 5.2 states/eV per cell. Its formation energy is -0.5 eV/f.u.

It has space group I4mm (No. 107), with a = 3.380 Å, b = 3.380 Å, c = 8.988 Å, α = 90.00°, β = 90.00° and γ = 90.00°. The inequivalent atoms are Y at (0.000, 0.000, 0.000), Cu at (0.000, 0.000, 0.307) and Ni at (0.000, 0.000, 0.681).

---

Record 10
First-principles (GGA-PBE) data for a relaxed structure of YHRh2Pb, as listed in Alexandria.

The total magnetization is 0.00 μB per atom. Its density of states at the Fermi level is 2.8 states/eV per cell. The uncorrected energy is -5.987 eV/atom.

It has space group P4/mmm (No. 123), with a = 4.324 Å, b = 4.324 Å, c = 4.274 Å, α = 90.00°, β = 90.00° and γ = 90.00°. The inequivalent atoms are Y at (0.000, 0.000, 0.000), H at (0.000, 0.000, 0.500), Rh at (0.000, 0.500, 0.500) and Pb at (0.500, 0.500, 0.000).

---

Record 11
First-principles (GGA-PBE) data for a relaxed structure of MgHPtRh2, as listed in Alexandria.

The total magnetization is 0.00 μB per atom. Its density of states at the Fermi level is 3.5 states/eV per cell. The value obtained for the energy relative to the lowest polymorph listed for this composition is 0.10 kcal/mol of atoms.

It has space group P4/mmm (No. 123), with a = 3.973 Å, b = 3.973 Å, c = 3.962 Å, α = 90.00°, β = 90.00° and γ = 90.00°. The inequivalent atoms are Mg at (0.000, 0.000, 0.000), H at (0.500, 0.500, 0.500), Pt at (0.500, 0.500, 0.000) and Rh at (0.000, 0.500, 0.500).